P:
First-principles (meta-GGA SCAN) data for a PBEsol-optimized structure of Sr2SeBr, as listed in Alexandria.

a b c (Å): 3.8359 5.2942 5.2942
angles (deg): 89.99 90.03 90.03
Element x y z (fractional)
Sr: 0.0000 0.0000 0.5000
Br: 0.5000 0.5000 0.5000
Se: 0.5000 0.0000 0.0000
Sr: 0.0000 0.5000 0.0000

Calculated values
The density comes out at 5.16 g cm⁻³. Its density of states at the Fermi level is 0.4980 states/eV per atom. The space group is P4/mmm (123).


Q:
First-principles (meta-GGA SCAN) data for a PBEsol-optimized structure of Sr2SeBr, as listed in Alexandria.

a b c (Å): 5.3248 5.3266 5.3266
angles (deg): 60.04 60.01 60.01
Element x y z (fractional)
Sr: 0.2500 0.7500 0.7500
Se: 0.0000 0.5000 0.5000
Sr: 0.7500 0.2500 0.2500
Br: 0.5000 0.0000 0.0000

Calculated values
The density comes out at 5.19 g cm⁻³. Its density of states at the Fermi level is 0.5418 states/eV per atom. The space group is Fm-3m (225).


Least stable = P


P:
First-principles (meta-GGA SCAN) data for a PBEsol-optimized structure of TcSe2Br, as listed in Alexandria.

a b c (Å): 3.2822 6.8279 8.3190
angles (deg): 81.22 78.62 76.09
Element x y z (fractional)
Se: 0.5937 0.6257 0.1868
Br: 0.1721 0.2435 0.4123
Tc: 0.7426 0.6232 0.8916
Br: 0.8279 0.7565 0.5877
Se: 0.4063 0.3743 0.8132
Se: 0.1004 0.9301 0.8690
Tc: 0.2574 0.3768 0.1084
Se: 0.8996 0.0699 0.1310

Calculated values
The density comes out at 6.33 g cm⁻³. Its density of states at the Fermi level is 0.4731 states/eV per atom. The space group is C2/m (12).


Q:
First-principles (meta-GGA SCAN) data for a PBEsol-optimized structure of TcSe2Br, as listed in Alexandria.

a b c (Å): 2.8993 2.8993 10.7532
angles (deg): 90.00 90.00 115.91
Element x y z (fractional)
Br: 0.5000 0.5000 0.0000
Tc: 0.5000 0.5000 0.5000
Se: 0.0000 0.0000 0.3136
Se: 0.0000 0.0000 0.6864

Calculated values
The density comes out at 6.86 g cm⁻³. Its density of states at the Fermi level is 0.9157 states/eV per atom. The space group is Cmmm (65).


Least stable = Q


P:
First-principles (meta-GGA SCAN) data for a PBEsol-optimized structure of TcSe2Br, as listed in Alexandria.

a b c (Å): 3.2805 3.8271 7.8126
angles (deg): 98.95 90.00 115.38
Element x y z (fractional)
Tc: 0.0000 0.0000 0.0000
Se: 0.6604 0.3209 0.8281
Br: 0.5000 0.0000 0.5000
Se: 0.3396 0.6791 0.1719

Calculated values
The density comes out at 6.39 g cm⁻³. Its density of states at the Fermi level is 0.4389 states/eV per atom. The space group is C2/m (12).


Q:
First-principles (meta-GGA SCAN) data for a PBEsol-optimized structure of TcSe2Br, as listed in Alexandria.

a b c (Å): 3.2766 5.3802 5.1233
angles (deg): 118.41 90.00 90.00
Element x y z (fractional)
Se: 0.0000 0.8894 0.6945
Se: 0.0000 0.1106 0.3055
Tc: 0.5000 0.5000 0.5000
Br: 0.5000 0.5000 0.0000

Calculated values
The density comes out at 7.02 g cm⁻³. Its density of states at the Fermi level is 0.6118 states/eV per atom. The space group is Cmmm (65).


Least stable = P


P:
First-principles (meta-GGA SCAN) data for a PBEsol-optimized structure of TcSe2Br, as listed in Alexandria.

a b c (Å): 3.3420 3.3420 7.1557
angles (deg): 90.00 90.00 90.00
Element x y z (fractional)
Br: 0.5000 0.5000 0.6990
Se: 0.0000 0.0000 0.0800
Tc: 0.0000 0.0000 0.4332
Se: 0.5000 0.5000 0.2877

Calculated values
The density comes out at 6.98 g cm⁻³. Its density of states at the Fermi level is 0.7291 states/eV per atom. The space group is P4mm (99).


Q:
First-principles (meta-GGA SCAN) data for a PBEsol-optimized structure of TcSe2Br, as listed in Alexandria.

a b c (Å): 3.2216 5.0683 5.0683
angles (deg): 118.43 90.00 90.00
Element x y z (fractional)
Br: 0.5000 0.5000 0.5000
Se: 0.0000 0.0000 0.5000
Tc: 0.5000 0.0000 0.0000
Se: 0.0000 0.5000 0.0000

Calculated values
The density comes out at 7.66 g cm⁻³. Its density of states at the Fermi level is 0.7726 states/eV per atom. The space group is Cmmm (65).


Least stable = Q


P:
First-principles (meta-GGA SCAN) data for a PBEsol-optimized structure of TcSeBr2, as listed in Alexandria.

a b c (Å): 4.6766 6.8679 6.8679
angles (deg): 83.34 70.09 70.09
Element x y z (fractional)
Br: 0.8750 0.3621 0.1379
Se: 0.5000 0.0000 0.0000
Br: 0.3750 0.6379 0.8621
Br: 0.7629 0.8621 0.3621
Se: 0.2500 0.5000 0.5000
Tc: 0.0000 0.0000 0.0000
Br: 0.9871 0.1379 0.6379
Tc: 0.7500 0.5000 0.5000

Calculated values
The density comes out at 5.74 g cm⁻³. Its density of states at the Fermi level is 0.3581 states/eV per atom. The space group is I-42d (122).


Q:
First-principles (meta-GGA SCAN) data for a PBEsol-optimized structure of TcSeBr2, as listed in Alexandria.

a b c (Å): 4.6759 4.8648 4.6759
angles (deg): 61.28 90.00 118.72
Element x y z (fractional)
Br: 0.2500 0.5000 0.2500
Tc: 0.0000 0.0000 0.0000
Br: 0.7500 0.5000 0.7500
Se: 0.5000 0.0000 0.5000

Calculated values
The density comes out at 7.17 g cm⁻³. Its density of states at the Fermi level is 0.4260 states/eV per atom. The space group is I4/mmm (139).


Least stable = Q


P:
First-principles (meta-GGA SCAN) data for a PBEsol-optimized structure of TeSe2Br, as listed in Alexandria.

a b c (Å): 4.0664 4.0664 7.5691
angles (deg): 74.42 74.42 60.00
Element x y z (fractional)
Br: 0.0000 0.0000 0.0000
Se: 0.7586 0.7586 0.7242
Se: 0.2414 0.2414 0.2758
Te: 0.5000 0.5000 0.5000

Calculated values
The density comes out at 5.89 g cm⁻³. Its density of states at the Fermi level is 0.8172 states/eV per atom. The space group is R-3m (166).


Q:
First-principles (meta-GGA SCAN) data for a PBEsol-optimized structure of TeSe2Br, as listed in Alexandria.

a b c (Å): 3.9373 3.9373 6.6349
angles (deg): 90.00 90.00 90.00
Element x y z (fractional)
Br: 0.0000 0.0000 0.5000
Te: 0.5000 0.5000 0.5000
Se: 0.0000 0.5000 0.0000
Se: 0.5000 0.0000 0.0000

Calculated values
The density comes out at 5.90 g cm⁻³. Its density of states at the Fermi level is 0.6727 states/eV per atom. The space group is P4/mmm (123).


R:
First-principles (meta-GGA SCAN) data for a PBEsol-optimized structure of TeSe2Br, as listed in Alexandria.

a b c (Å): 3.9556 5.1555 5.9207
angles (deg): 106.47 90.00 90.00
Element x y z (fractional)
Se: 0.0000 0.9039 0.6598
Br: 0.5000 0.5000 0.0000
Te: 0.5000 0.5000 0.5000
Se: 0.0000 0.0961 0.3402

Calculated values
The density comes out at 5.24 g cm⁻³. Its density of states at the Fermi level is 0.1955 states/eV per atom. The space group is P2/m (10).


Least stable = Q